[1]
A plane-wave DFT calculation with PBE-GGA was carried out for an optimized crystal structure of TiNiAs2.

Cell lengths 6.2370, 6.2370, 6.2370 Å; angles 90.00, 90.00, 90.00 degrees
Atoms (fractional coordinates):
Ti 0.0000 0.0000 0.0000
Ti 0.0000 0.5000 0.5000
Ti 0.5000 0.0000 0.5000
Ti 0.5000 0.5000 0.0000
Ni 0.0000 0.0000 0.5000
Ni 0.0000 0.5000 0.0000
Ni 0.5000 0.0000 0.0000
Ni 0.5000 0.5000 0.5000
As 0.2500 0.2500 0.2500
As 0.2500 0.2500 0.7500
As 0.2500 0.7500 0.2500
As 0.2500 0.7500 0.7500
As 0.7500 0.2500 0.2500
As 0.7500 0.2500 0.7500
As 0.7500 0.7500 0.2500
As 0.7500 0.7500 0.7500

VASP energy   -5.9772 eV/atom
Mass density   7.02 g cm⁻³
Space group   Fm-3m (225)
N(E_F)   0.491 states/eV per atom
Size of the total moment   0.000 μB/atom

[2]
A plane-wave DFT calculation with PBE-GGA was carried out for an optimized crystal structure of Ti2NiAs.

Cell lengths 6.8051, 6.8051, 5.3956 Å; angles 90.00, 90.00, 90.00 degrees
Atoms (fractional coordinates):
Ti 0.2330 0.7500 0.1250
Ti 0.2500 0.2330 0.8750
Ti 0.2500 0.2670 0.3750
Ti 0.2670 0.7500 0.6250
Ti 0.7330 0.2500 0.6250
Ti 0.7500 0.7330 0.3750
Ti 0.7500 0.7670 0.8750
Ti 0.7670 0.2500 0.1250
Ni 0.0000 0.0000 0.0000
Ni 0.0000 0.5000 0.2500
Ni 0.5000 0.0000 0.7500
Ni 0.5000 0.5000 0.5000
As 0.0000 0.0000 0.5000
As 0.0000 0.5000 0.7500
As 0.5000 0.0000 0.2500
As 0.5000 0.5000 0.0000

VASP energy   -6.8392 eV/atom
Mass density   6.10 g cm⁻³
Space group   I-42d (122)
N(E_F)   0.799 states/eV per atom
Size of the total moment   0.000 μB/atom

[3]
A plane-wave DFT calculation with PBE-GGA was carried out for an optimized crystal structure of TiNi2As2.

Cell lengths 6.9530, 6.9530, 2.9233 Å; angles 90.00, 90.00, 90.00 degrees
Atoms (fractional coordinates):
Ti 0.0000 0.0000 0.0000
Ti 0.5000 0.5000 0.0000
Ni 0.1380 0.3620 0.5000
Ni 0.3620 0.8620 0.5000
Ni 0.6380 0.1380 0.5000
Ni 0.8620 0.6380 0.5000
As 0.1585 0.6585 0.0000
As 0.3415 0.1585 0.0000
As 0.6585 0.8415 0.0000
As 0.8415 0.3415 0.0000

VASP energy   -6.0625 eV/atom
Mass density   7.40 g cm⁻³
Space group   P4/mbm (127)
N(E_F)   0.465 states/eV per atom
Size of the total moment   0.000 μB/atom

[4]
A plane-wave DFT calculation with PBE-GGA was carried out for an optimized crystal structure of TiNiAs2.

Cell lengths 6.6666, 6.6666, 5.8632 Å; angles 90.00, 90.00, 90.00 degrees
Atoms (fractional coordinates):
Ti 0.0000 0.0000 0.0000
Ti 0.0000 0.5000 0.2500
Ti 0.5000 0.0000 0.7500
Ti 0.5000 0.5000 0.5000
Ni 0.0000 0.0000 0.5000
Ni 0.0000 0.5000 0.7500
Ni 0.5000 0.0000 0.2500
Ni 0.5000 0.5000 0.0000
As 0.2122 0.7500 0.6250
As 0.2500 0.2122 0.3750
As 0.2500 0.2878 0.8750
As 0.2878 0.7500 0.1250
As 0.7121 0.2500 0.1250
As 0.7500 0.7121 0.8750
As 0.7500 0.7879 0.3750
As 0.7879 0.2500 0.6250

VASP energy   -5.9941 eV/atom
Mass density   6.54 g cm⁻³
Space group   I-42d (122)
N(E_F)   0.878 states/eV per atom
Size of the total moment   0.000 μB/atom

[5]
A plane-wave DFT calculation with PBE-GGA was carried out for an optimized crystal structure of TiNi9As2.

Cell lengths 3.5962, 3.5962, 10.8061 Å; angles 90.00, 90.00, 90.00 degrees
Atoms (fractional coordinates):
Ti 0.0000 0.0000 0.0000
Ni 0.0000 0.5000 0.1670
Ni 0.0000 0.5000 0.5000
Ni 0.0000 0.5000 0.8330
Ni 0.5000 0.0000 0.1670
Ni 0.5000 0.0000 0.5000
Ni 0.5000 0.0000 0.8330
Ni 0.5000 0.5000 0.0000
Ni 0.5000 0.5000 0.3353
Ni 0.5000 0.5000 0.6647
As 0.0000 0.0000 0.3337
As 0.0000 0.0000 0.6663

VASP energy   -6.0317 eV/atom
Mass density   8.63 g cm⁻³
Space group   P4/mmm (123)
N(E_F)   0.624 states/eV per atom
Size of the total moment   0.000 μB/atom

[6]
A plane-wave DFT calculation with PBE-GGA was carried out for an optimized crystal structure of Ti2NiAs3.

Cell lengths 9.7763, 3.5999, 11.3977 Å; angles 90.00, 90.00, 90.00 degrees
Atoms (fractional coordinates):
Ti 0.0446 0.2500 0.2470
Ti 0.2064 0.7500 0.5223
Ti 0.2936 0.2500 0.0223
Ti 0.4554 0.7500 0.7470
Ti 0.5446 0.2500 0.2530
Ti 0.7064 0.7500 0.9777
Ti 0.7936 0.2500 0.4777
Ti 0.9554 0.7500 0.7530
Ni 0.2235 0.2500 0.7375
Ni 0.2765 0.7500 0.2375
Ni 0.7235 0.2500 0.7625
Ni 0.7765 0.7500 0.2625
As 0.0357 0.2500 0.6024
As 0.1057 0.7500 0.0957
As 0.1968 0.7500 0.8617
As 0.3032 0.2500 0.3617
As 0.3943 0.2500 0.5957
As 0.4643 0.7500 0.1024
As 0.5357 0.2500 0.8976
As 0.6057 0.7500 0.4043
As 0.6968 0.7500 0.6383
As 0.8032 0.2500 0.1383
As 0.8943 0.2500 0.9043
As 0.9643 0.7500 0.3976

VASP energy   -6.4831 eV/atom
Mass density   6.28 g cm⁻³
Space group   Pnma (62)
N(E_F)   0.638 states/eV per atom
Size of the total moment   0.000 μB/atom

> Which of these has the highest VASP energy?

number 1